Cd2As2I PBE relaxed; crystal system = tetragonal
1.0
-2.623 2.623 4.749
2.623 -2.623 4.749
2.623 2.623 -4.749
Cd As I
2 2 1
Cartesian
2.623 0.000 2.375
0.000 2.623 2.375
0.000 0.000 1.218
0.000 0.000 8.281
0.000 0.000 4.749

Cd3AsI PBE relaxed; crystal system = cubic
1.0
5.458 0.000 0.000
0.000 5.458 0.000
0.000 0.000 5.458
Cd As I
3 1 1
Cartesian
0.000 0.000 2.729
0.000 2.729 0.000
2.729 0.000 0.000
0.000 0.000 0.000
2.729 2.729 2.729

Cd2AsI PBE relaxed; crystal system = trigonal
1.0
2.167 1.251 8.119
-2.167 1.251 8.119
0.000 -2.502 8.119
Cd As I
2 1 1
Cartesian
0.000 0.000 2.822
0.000 0.000 21.535
0.000 0.000 12.178
0.000 0.000 0.000

Cd3AsI PBE relaxed; crystal system = cubic
1.0
5.742 0.000 0.000
0.000 5.742 0.000
0.000 0.000 5.742
Cd As I
3 1 1
Cartesian
0.000 0.000 2.871
0.000 2.871 0.000
2.871 0.000 0.000
2.871 2.871 2.871
0.000 0.000 0.000

Number 1: ΔE_f (raw) 0.0083 eV/atom, offset from the most stable computed form 0.0 kJ per mole of atoms, spin magnetization 0.00 μB per formula unit. Number 2: ΔE_f (raw) -0.0350 eV/atom, offset from the most stable computed form 1.5 kJ per mole of atoms, spin magnetization 0.00 μB per formula unit. Number 3: ΔE_f (raw) -0.1627 eV/atom, offset from the most stable computed form 13.7 kJ per mole of atoms, spin magnetization 0.00 μB per formula unit. Number 4: ΔE_f (raw) 0.8481 eV/atom, offset from the most stable computed form 86.7 kJ per mole of atoms, spin magnetization 0.00 μB per formula unit.